First-principles (GGA-PBE) data for a geometry-optimized TaSe2Cl structure, as listed in Alexandria.

Geometry as CIF:
```
data_TaSe2Cl
_chemical_formula_sum 'Ta1 Se2 Cl1'
_cell_length_a 4.713
_cell_length_b 4.713
_cell_length_c 4.713
_cell_angle_alpha 60.00
_cell_angle_beta 60.00
_cell_angle_gamma 60.00
_symmetry_space_group_name_H-M 'P 1'
_symmetry_Int_Tables_number 1
_symmetry_space_group_name_Hall 'P 1'
loop_
_atom_site_label
_atom_site_type_symbol
_atom_site_fract_x
_atom_site_fract_y
_atom_site_fract_z
_atom_site_occupancy
Cl1 Cl 0.000 0.000 0.000 1
Se1 Se 0.250 0.250 0.250 1
Se2 Se 0.750 0.750 0.750 1
Ta1 Ta 0.500 0.500 0.500 1
```

mass density: 8.40 g/cm3
crystal system: cubic
energy above the lowest structure with this stoichiometry: 914 meV/atom
total magnetization: 0.00 μB per formula unit
E_tot: -5.06 eV/atom



First-principles (GGA-PBE) data for a geometry-optimized Ta2SeCl structure, as listed in Alexandria.

Geometry as CIF:
```
data_Ta2SeCl
_chemical_formula_sum 'Ta2 Se1 Cl1'
_cell_length_a 5.395
_cell_length_b 5.395
_cell_length_c 5.395
_cell_angle_alpha 147.87
_cell_angle_beta 115.17
_cell_angle_gamma 74.20
_symmetry_space_group_name_H-M 'P 1'
_symmetry_Int_Tables_number 1
_symmetry_space_group_name_Hall 'P 1'
loop_
_atom_site_label
_atom_site_type_symbol
_atom_site_fract_x
_atom_site_fract_y
_atom_site_fract_z
_atom_site_occupancy
Cl1 Cl 0.750 0.250 0.500 1
Se1 Se 0.250 0.750 0.500 1
Ta1 Ta 0.001 0.001 0.000 1
Ta2 Ta 0.499 0.499 0.000 1
```

mass density: 10.65 g/cm3
crystal system: orthorhombic
energy above the lowest structure with this stoichiometry: 786 meV/atom
total magnetization: 0.00 μB per formula unit
E_tot: -7.05 eV/atom



First-principles (GGA-PBE) data for a geometry-optimized Ta2SeCl structure, as listed in Alexandria.

Geometry as CIF:
```
data_Ta2SeCl
_chemical_formula_sum 'Ta2 Se1 Cl1'
_cell_length_a 3.312
_cell_length_b 3.312
_cell_length_c 6.707
_cell_angle_alpha 90.00
_cell_angle_beta 90.00
_cell_angle_gamma 90.00
_symmetry_space_group_name_H-M 'P 1'
_symmetry_Int_Tables_number 1
_symmetry_space_group_name_Hall 'P 1'
loop_
_atom_site_label
_atom_site_type_symbol
_atom_site_fract_x
_atom_site_fract_y
_atom_site_fract_z
_atom_site_occupancy
Cl1 Cl 0.500 0.500 0.250 1
Se1 Se 0.500 0.500 0.750 1
Ta1 Ta 0.000 0.000 0.946 1
Ta2 Ta 0.000 0.000 0.554 1
```

mass density: 10.75 g/cm3
crystal system: tetragonal
energy above the lowest structure with this stoichiometry: 851 meV/atom
total magnetization: 0.00 μB per formula unit
E_tot: -6.98 eV/atom



First-principles (GGA-PBE) data for a geometry-optimized TaSeCl2 structure, as listed in Alexandria.

Geometry as CIF:
```
data_TaSeCl2
_chemical_formula_sum 'Ta1 Se1 Cl2'
_cell_length_a 4.689
_cell_length_b 4.058
_cell_length_c 4.058
_cell_angle_alpha 90.00
_cell_angle_beta 90.00
_cell_angle_gamma 90.00
_symmetry_space_group_name_H-M 'P 1'
_symmetry_Int_Tables_number 1
_symmetry_space_group_name_Hall 'P 1'
loop_
_atom_site_label
_atom_site_type_symbol
_atom_site_fract_x
_atom_site_fract_y
_atom_site_fract_z
_atom_site_occupancy
Cl1 Cl 0.000 0.000 0.000 1
Cl2 Cl 0.000 0.500 0.500 1
Se1 Se 0.500 0.500 0.000 1
Ta1 Ta 0.500 0.000 0.500 1
```

mass density: 7.11 g/cm3
crystal system: tetragonal
energy above the lowest structure with this stoichiometry: 1482 meV/atom
total magnetization: 0.90 μB per formula unit
E_tot: -4.23 eV/atom